# 1
# Nd2Ho2Tl

An optimized crystal structure of Nd2Ho2Tl (PBE, Alexandria via LeMat-Bulk).

## Properties
Space-group type: C2/m, No. 12
Total DFT energy (no corrections), eV/cell: -42.84
Volume, Å³ per atom: 31.5
DOS(E_F), states/eV/atom: 0.978
DFT formation energy, eV/f.u.: -0.36
Magnetic moment, μB per cell: 0.00
Energy above the lowest structure with this stoichiometry, meV per atom: 0.0

abc: 6.404 6.404 8.605
angles: 107.28 107.28 95.58
Element x y z (fractional)
Nd1 0.162 0.162 0.426
Nd2 0.279 0.279 0.886
Nd3 0.721 0.721 0.114
Nd4 0.838 0.838 0.574
Ho1 0.246 0.612 0.283
Ho2 0.388 0.754 0.717
Ho3 0.612 0.246 0.283
Ho4 0.754 0.388 0.717
Tl1 0.170 0.830 0.000
Tl2 0.830 0.170 0.000



# 2
# Nd6Ho12Tl

An optimized crystal structure of Nd6Ho12Tl (PBE, Alexandria via LeMat-Bulk).

## Properties
Space-group type: R-3, No. 148
Total DFT energy (no corrections), eV/cell: -84.34
Volume, Å³ per atom: 32.3
DOS(E_F), states/eV/atom: 1.240
DFT formation energy, eV/f.u.: 1.57
Magnetic moment, μB per cell: 0.00

abc: 8.502 8.502 8.502
angles: 89.11 89.11 89.11
Element x y z (fractional)
Nd1 0.195 0.592 0.761
Nd2 0.239 0.805 0.408
Nd3 0.408 0.239 0.805
Nd4 0.592 0.761 0.195
Nd5 0.761 0.195 0.592
Nd6 0.805 0.408 0.239
Ho1 0.039 0.277 0.936
Ho2 0.064 0.961 0.723
Ho3 0.141 0.311 0.487
Ho4 0.277 0.936 0.039
Ho5 0.311 0.487 0.141
Ho6 0.487 0.141 0.311
Ho7 0.513 0.859 0.689
Ho8 0.689 0.513 0.859
Ho9 0.723 0.064 0.961
Ho10 0.859 0.689 0.513
Ho11 0.936 0.039 0.277
Ho12 0.961 0.723 0.064
Tl1 0.500 0.500 0.500



# 3
# Nd7Ho3Tl2

An optimized crystal structure of Nd7Ho3Tl2 (PBE, Alexandria via LeMat-Bulk).

## Properties
Space-group type: P2/m, No. 10
Total DFT energy (no corrections), eV/cell: -51.90
Volume, Å³ per atom: 32.8
DOS(E_F), states/eV/atom: 1.204
DFT formation energy, eV/f.u.: -0.06
Magnetic moment, μB per cell: 0.00

abc: 5.716 3.667 18.852
angles: 90.00 94.22 90.00
Element x y z (fractional)
Nd1 0.000 0.000 0.000
Nd2 0.164 0.500 0.174
Nd3 0.258 0.500 0.537
Nd4 0.339 0.000 0.850
Nd5 0.661 0.000 0.150
Nd6 0.742 0.500 0.463
Nd7 0.836 0.500 0.826
Ho1 0.216 0.000 0.363
Ho2 0.500 0.500 0.000
Ho3 0.784 0.000 0.637
Tl1 0.304 0.500 0.704
Tl2 0.696 0.500 0.296



# 4
# Nd2Ho3Tl4

An optimized crystal structure of Nd2Ho3Tl4 (PBE, Alexandria via LeMat-Bulk).

## Properties
Space-group type: Cmce, No. 64
Total DFT energy (no corrections), eV/cell: -69.86
Volume, Å³ per atom: 30.2
DOS(E_F), states/eV/atom: 0.861
DFT formation energy, eV/f.u.: -2.19
Magnetic moment, μB per cell: 0.00
Energy above the lowest structure with this stoichiometry, meV per atom: 50.2

abc: 9.080 9.080 9.102
angles: 90.00 90.00 133.52
Element x y z (fractional)
Nd1 0.109 0.891 0.922
Nd2 0.391 0.609 0.422
Nd3 0.609 0.391 0.578
Nd4 0.891 0.109 0.078
Ho1 0.000 0.000 0.500
Ho2 0.034 0.466 0.750
Ho3 0.466 0.034 0.250
Ho4 0.500 0.500 0.000
Ho5 0.534 0.966 0.750
Ho6 0.966 0.534 0.250
Tl1 0.185 0.815 0.542
Tl2 0.217 0.283 0.750
Tl3 0.283 0.217 0.250
Tl4 0.315 0.685 0.042
Tl5 0.685 0.315 0.958
Tl6 0.717 0.783 0.750
Tl7 0.783 0.717 0.250
Tl8 0.815 0.185 0.458